A relaxed BaLi2W crystal, computed with PBEsol.

Values from the calculation:
The calculated volume comes out at 92 Å³/cell. The value obtained for the formation energy is 4.71 eV per formula unit. The density of states at the Fermi level is 3.04 states/eV/f.u. The calculation puts the calculated density at 6.0 g/cm3. Its total energy is -3.79 eV per atom. Its space-group type is Fm-3m, No. 225.

Cell: 5.072 5.072 5.072 Å, 60.00 60.00 60.00°
Sites, in units of the cell vectors:
1 W 0.500 0.500 0.500
2 Li 0.750 0.750 0.750
3 Li 0.250 0.250 0.250
4 Ba 0.000 0.000 0.000

---

A relaxed Ba2LiY crystal, computed with PBEsol.

Values from the calculation:
The calculated volume comes out at 154 Å³/cell. The value obtained for the formation energy is 1.19 eV per formula unit. The density of states at the Fermi level is 6.65 states/eV/f.u. The calculation puts the calculated density at 4.0 g/cm3. Its total energy is -2.97 eV per atom. Its space-group type is F-43m, No. 216.

Cell: 6.015 6.015 6.015 Å, 60.00 60.00 60.00°
Sites, in units of the cell vectors:
1 Ba 0.750 0.750 0.750
2 Ba 0.000 0.000 0.000
3 Li 0.500 0.500 0.500
4 Y 0.250 0.250 0.250

---

A relaxed BaLi2Y crystal, computed with PBEsol.

Values from the calculation:
The calculated volume comes out at 123 Å³/cell. The value obtained for the formation energy is 0.77 eV per formula unit. The density of states at the Fermi level is 4.83 states/eV/f.u. The calculation puts the calculated density at 3.2 g/cm3. Its total energy is -3.03 eV per atom. Its space-group type is Cmmm, No. 65.

Cell: 3.776 5.714 5.714 Å, 90.22 90.00 90.00°
Sites, in units of the cell vectors:
1 Li 0.000 0.000 0.500
2 Li 0.000 0.500 0.000
3 Y 0.500 0.000 0.000
4 Ba 0.500 0.500 0.500

---

A relaxed Ba2LiY crystal, computed with PBEsol.

Values from the calculation:
The calculated volume comes out at 162 Å³/cell. The value obtained for the formation energy is 0.78 eV per formula unit. The density of states at the Fermi level is 5.99 states/eV/f.u. The calculation puts the calculated density at 3.8 g/cm3. Its total energy is -3.08 eV per atom. Its space-group type is P4/mmm, No. 123.

Cell: 4.276 4.276 8.840 Å, 90.00 90.00 90.00°
Sites, in units of the cell vectors:
1 Ba 0.000 0.000 0.237
2 Ba 0.000 0.000 0.763
3 Y 0.500 0.500 0.500
4 Li 0.500 0.500 0.000

---

A relaxed BaLi2Y crystal, computed with PBEsol.

Values from the calculation:
The calculated volume comes out at 124 Å³/cell. The value obtained for the formation energy is 0.98 eV per formula unit. The density of states at the Fermi level is 4.67 states/eV/f.u. The calculation puts the calculated density at 3.2 g/cm3. Its total energy is -2.98 eV per atom. Its space-group type is R-3m, No. 166.

Cell: 3.582 3.582 11.362 Å, 80.93 80.93 60.00°
Sites, in units of the cell vectors:
1 Ba 0.000 0.000 0.000
2 Y 0.500 0.500 0.500
3 Li 0.244 0.244 0.267
4 Li 0.756 0.756 0.733

---

A relaxed Ba3LiY crystal, computed with PBEsol.

Values from the calculation:
The calculated volume comes out at 234 Å³/cell. The value obtained for the formation energy is 2.39 eV per formula unit. The density of states at the Fermi level is 10.25 states/eV/f.u. The calculation puts the calculated density at 3.6 g/cm3. Its total energy is -2.57 eV per atom. Its space-group type is Pm-3m, No. 221.

Cell: 6.164 6.164 6.164 Å, 90.00 90.00 90.00°
Sites, in units of the cell vectors:
1 Y 0.500 0.500 0.500
2 Ba 0.500 0.000 0.000
3 Ba 0.000 0.500 0.000
4 Ba 0.000 0.000 0.500
5 Li 0.000 0.000 0.000

---

A relaxed BaLiY2 crystal, computed with PBEsol.

Values from the calculation:
The calculated volume comes out at 133 Å³/cell. The value obtained for the formation energy is 0.94 eV per formula unit. The density of states at the Fermi level is 5.41 states/eV/f.u. The calculation puts the calculated density at 4.0 g/cm3. Its total energy is -4.20 eV per atom. Its space-group type is Pmmm, No. 47.

Cell: 3.822 5.753 6.026 Å, 90.00 90.00 90.00°
Sites, in units of the cell vectors:
1 Ba 0.500 0.000 0.500
2 Y 0.000 0.000 0.000
3 Y 0.500 0.500 0.000
4 Li 0.000 0.500 0.500

---

A relaxed BaLiZn2 crystal, computed with PBEsol.

Values from the calculation:
The calculated volume comes out at 99 Å³/cell. The value obtained for the formation energy is -0.57 eV per formula unit. The density of states at the Fermi level is 2.69 states/eV/f.u. The calculation puts the calculated density at 4.6 g/cm3. Its total energy is -1.96 eV per atom. Its space-group type is Cm, No. 8.

Cell: 4.458 4.469 6.267 Å, 110.58 90.00 119.92°
Sites, in units of the cell vectors:
1 Li 0.692 0.384 0.078
2 Zn 0.990 0.981 0.971
3 Zn 0.311 0.621 0.933
4 Ba 0.507 0.014 0.518

---

A relaxed BaLiZn2 crystal, computed with PBEsol.

Values from the calculation:
The calculated volume comes out at 101 Å³/cell. The value obtained for the formation energy is -0.56 eV per formula unit. The density of states at the Fermi level is 2.48 states/eV/f.u. The calculation puts the calculated density at 4.5 g/cm3. Its total energy is -1.96 eV per atom. Its space-group type is R-3m, No. 166.

Cell: 4.516 4.516 6.261 Å, 68.86 68.86 60.00°
Sites, in units of the cell vectors:
1 Ba 0.500 0.500 0.500
2 Zn 0.689 0.689 0.932
3 Zn 0.311 0.311 0.068
4 Li 0.000 0.000 0.000

---

A relaxed BaLiZn2 crystal, computed with PBEsol.

Values from the calculation:
The calculated volume comes out at 101 Å³/cell. The value obtained for the formation energy is 0.03 eV per formula unit. The density of states at the Fermi level is 4.25 states/eV/f.u. The calculation puts the calculated density at 4.5 g/cm3. Its total energy is -1.81 eV per atom. Its space-group type is Fm-3m, No. 225.

Cell: 5.222 5.222 5.222 Å, 60.00 60.00 60.00°
Sites, in units of the cell vectors:
1 Li 0.000 0.000 0.000
2 Zn 0.750 0.750 0.750
3 Zn 0.250 0.250 0.250
4 Ba 0.500 0.500 0.500

---

A relaxed Ba4LiZn crystal, computed with PBEsol.

Values from the calculation:
The calculated volume comes out at 279 Å³/cell. The value obtained for the formation energy is 3.03 eV per formula unit. The density of states at the Fermi level is 11.30 states/eV/f.u. The calculation puts the calculated density at 3.7 g/cm3. Its total energy is -1.52 eV per atom. Its space-group type is F-43m, No. 216.

Cell: 7.331 7.331 7.331 Å, 60.00 60.00 60.00°
Sites, in units of the cell vectors:
1 Ba 0.374 0.374 0.374
2 Ba 0.374 0.877 0.374
3 Ba 0.877 0.374 0.374
4 Ba 0.374 0.374 0.877
5 Zn 0.000 0.000 0.000
6 Li 0.750 0.750 0.750

---

A relaxed Ba2LiZn2 crystal, computed with PBEsol.

Values from the calculation:
The calculated volume comes out at 327 Å³/cell. The value obtained for the formation energy is -0.24 eV per formula unit. The density of states at the Fermi level is 4.47 states/eV/f.u. The calculation puts the calculated density at 4.2 g/cm3. Its total energy is -1.93 eV per atom. Its space-group type is P4/mbm, No. 127.

Cell: 4.423 8.596 8.596 Å, 90.00 90.00 90.00°
Sites, in units of the cell vectors:
1 Zn 0.000 0.392 0.892
2 Zn 0.000 0.608 0.108
3 Zn 0.000 0.892 0.608
4 Zn 0.000 0.108 0.392
5 Ba 0.500 0.316 0.184
6 Ba 0.500 0.684 0.816
7 Ba 0.500 0.816 0.316
8 Ba 0.500 0.184 0.684
9 Li 0.000 0.000 0.000
10 Li 0.000 0.500 0.500